# 1
This record from the Alexandria database describes a geometry-optimized PmTlZn structure. The functional is PBE.

The structure in POSCAR format:
```
PmTlZn
1.0
4.7779 0.0000 0.0000
-2.3889 4.1378 0.0000
0.0000 0.0000 3.7466
Pm Tl Zn
1 1 1
direct
0.0000 0.0000 0.0000
0.3333 0.6667 0.5000
0.6667 0.3333 0.5000
```

Properties
The value obtained for the calculated volume is 24.69 A^3/atom. The density of states at the Fermi level comes out at 0.5459 states/eV/atom. Its symmetry is P-6m2, No. 187. The calculated formation energy is -0.32 eV per atom.



# 2
This record from the Alexandria database describes a geometry-optimized La3Pm2Pr structure. The functional is PBE.

The structure in POSCAR format:
```
La3Pm2Pr
1.0
7.1031 0.0000 0.0000
-3.5516 6.1515 0.0000
0.0000 0.0000 9.9018
La Pm Pr
6 4 2
direct
0.1834 0.3668 0.2506
0.1834 0.8166 0.2506
0.3668 0.1834 0.7494
0.6332 0.8166 0.2506
0.8166 0.1834 0.7494
0.8166 0.6332 0.7494
0.0000 0.0000 0.0000
0.0000 0.0000 0.5000
0.3333 0.6667 0.5758
0.6667 0.3333 0.4242
0.3333 0.6667 0.9223
0.6667 0.3333 0.0777
```

Properties
The value obtained for the calculated volume is 36.05 A^3/atom. The density of states at the Fermi level comes out at 1.6172 states/eV/atom. Its symmetry is P-3m1, No. 164. The calculated formation energy is 0.18 eV per atom.



# 3
This record from the Alexandria database describes a geometry-optimized Si2Os structure. The functional is PBE.

The structure in POSCAR format:
```
Si2Os
1.0
-1.8009 1.8009 12.4784
1.8009 -1.8009 12.4784
1.8009 1.8009 -12.4784
Si Os
8 4
direct
0.1227 0.3727 0.7500
0.2847 0.5347 0.7500
0.3727 0.1227 0.2500
0.4653 0.7153 0.7500
0.5347 0.2847 0.2500
0.6273 0.8773 0.7500
0.7153 0.4653 0.2500
0.8773 0.6273 0.2500
0.0464 0.7964 0.2500
0.2036 0.9536 0.2500
0.7964 0.0464 0.7500
0.9536 0.2036 0.7500
```

Properties
The value obtained for the calculated volume is 13.49 A^3/atom. The density of states at the Fermi level comes out at 0.5044 states/eV/atom. Its formation energy (no corrections) is 27.37 kJ/mol of atoms. Its symmetry is I4_1/amd, No. 141.